{
  "formula": "Sr2Mg3Ir2",
  "functional": "PBE",
  "state": "relaxed",
  "ef_ev_per_atom": -0.29,
  "lattice_angstrom": [[-3.913, 0.359, -1.875], [-0.298, -3.142, 5.075], [0.216, 7.675, 1.019]],
  "species": ["Sr", "Sr", "Mg", "Mg", "Mg", "Ir", "Ir"],
  "frac_coords": [[0.858, 0.717, 0.215], [0.142, 0.283, 0.785], [0.500, 0.000, 0.000], [0.347, 0.695, 0.569], [0.653, 0.305, 0.431], [0.137, 0.274, 0.204], [0.863, 0.726, 0.796]]
}